# GGA-PBE NbFeCl3, optimized geometry
data_NbFeCl3
_cell_length_a 4.495
_cell_length_b 4.495
_cell_length_c 4.495
_cell_angle_alpha 90.00
_cell_angle_beta 90.00
_cell_angle_gamma 90.00
_space_group_name_H-M_alt 'P m -3 m'
_space_group_IT_number 221
_space_group_name_Hall '-P 4 2 3'
loop_
_atom_site_label
_atom_site_type_symbol
_atom_site_fract_x
_atom_site_fract_y
_atom_site_fract_z
_atom_site_occupancy
Nb1 Nb 0.000 0.000 0.000 1
Fe1 Fe 0.500 0.500 0.500 1
Cl1 Cl 0.000 0.500 0.500 1
# D(E_F) = 2.485 states/eV per atom
# calculated volume = 91 Å³/f.u.
# final energy = -4.191 eV/atom



# GGA-PBE NbFe3Cl, optimized geometry
data_NbFe3Cl
_cell_length_a 4.128
_cell_length_b 4.128
_cell_length_c 4.128
_cell_angle_alpha 90.00
_cell_angle_beta 90.00
_cell_angle_gamma 90.00
_space_group_name_H-M_alt 'P m -3 m'
_space_group_IT_number 221
_space_group_name_Hall '-P 4 2 3'
loop_
_atom_site_label
_atom_site_type_symbol
_atom_site_fract_x
_atom_site_fract_y
_atom_site_fract_z
_atom_site_occupancy
Nb1 Nb 0.000 0.000 0.000 1
Fe1 Fe 0.000 0.500 0.500 1
Cl1 Cl 0.500 0.500 0.500 1
# D(E_F) = 1.242 states/eV per atom
# calculated volume = 70 Å³/f.u.
# final energy = -6.665 eV/atom



# GGA-PBE NbFeCl2, optimized geometry
data_NbFeCl2
_cell_length_a 3.0826
_cell_length_b 3.0826
_cell_length_c 26.7505
_cell_angle_alpha 90.00
_cell_angle_beta 90.00
_cell_angle_gamma 120.00
_space_group_name_H-M_alt 'R -3 m'
_space_group_IT_number 166
_space_group_name_Hall '-R 3 2"'
loop_
_atom_site_label
_atom_site_type_symbol
_atom_site_fract_x
_atom_site_fract_y
_atom_site_fract_z
_atom_site_occupancy
Nb1 Nb 0.0000 0.0000 0.0000 1
Fe1 Fe 0.0000 0.0000 0.5000 1
Cl1 Cl 0.0000 0.0000 0.4018 1
# D(E_F) = 1.222 states/eV per atom
# calculated volume = 73 Å³/f.u.
# final energy = -5.634 eV/atom



- The lowest calculated volume belongs to which entry?
  NbFe3Cl



- Look up the calculated volume of the second one.
  70 Å³/f.u.